[1]
A relaxed ZnSiHg2 crystal, computed with GGA-PBEsol.

```
ZnSiHg2
1.0
3.0001 0.0000 0.0000
0.0000 4.3222 0.0000
0.0000 0.0000 12.2753
Zn Si Hg
2 2 4
direct
0.0000 0.0000 0.0000
0.5000 0.5000 0.5000
0.0000 0.5000 0.3295
0.5000 0.0000 0.8295
0.0000 0.0000 0.5675
0.0000 0.5000 0.7472
0.5000 0.0000 0.2472
0.5000 0.5000 0.0675
```

Summary:
Formation energy without anion corrections: 0.25 eV/atom
Calculated total energy: -1.8643 eV/atom
SG: No. 44
Energy above the most stable polymorph in this dataset: 0 meV/atom

[2]
A relaxed CaSbTe2Pb crystal, computed with GGA-PBEsol.

```
CaSbTe2Pb
1.0
5.8089 0.0000 0.0000
0.0000 5.8089 0.0000
0.0000 0.0000 5.5931
Ca Sb Te Pb
1 1 2 1
direct
0.0000 0.0000 0.0000
0.5000 0.5000 0.0000
0.0000 0.5000 0.5000
0.5000 0.0000 0.5000
0.5000 0.5000 0.5000
```

Summary:
Formation energy without anion corrections: 0.13 eV/atom
Calculated total energy: -3.4191 eV/atom
SG: No. 123

Question: Among the records above, which one has the highest calculated total energy?
Answer: ZnSiHg2